[1]
The following is a DFT calculation (PBE) of crystalline Re2SbS at its relaxed geometry.

## Properties
Formation energy without anion corrections (meV/atom): 816
Energy above the lowest structure with this stoichiometry (eV per formula unit): 0.44

a = 5.792 Å, b = 5.792 Å, c = 10.362 Å
α = 90.00°, β = 90.00°, γ = 90.00°
Space group I-42d (No. 122)
Inequivalent atoms, fractional coordinates:
Re 0.194 0.250 0.125
Sb 0.000 0.000 0.500
S 0.000 0.000 0.000

=====

[2]
The following is a DFT calculation (PBE) of crystalline Li2SmDyTl4 at its relaxed geometry.

## Properties
Energy of formation from the pure elements (eV per atom): -0.3248

a = 5.2195 Å, b = 5.2195 Å, c = 25.5014 Å
α = 90.00°, β = 90.00°, γ = 120.00°
Space group R-3m (No. 166, hexagonal axes)
Inequivalent atoms, fractional coordinates:
Li 0.0000 0.0000 0.2504
Sm 0.0000 0.0000 0.5000
Dy 0.0000 0.0000 0.0000
Tl 0.0000 0.0000 0.1238
Tl 0.0000 0.0000 0.3737

=====

[3]
The following is a DFT calculation (PBE) of crystalline Hf12NbSb6 at its relaxed geometry.

## Properties
Formation energy without anion corrections (meV/atom): -260

a = 13.6454 Å, b = 13.6454 Å, c = 7.8016 Å
α = 90.00°, β = 90.00°, γ = 120.00°
Space group R-3 (No. 148, hexagonal axes)
Inequivalent atoms, fractional coordinates:
Hf 0.0064 0.8726 0.1751
Hf 0.0690 0.4996 0.1692
Nb 0.0000 0.0000 0.5000
Sb 0.0198 0.7561 0.8473

=====

[4]
The following is a DFT calculation (PBE) of crystalline CaSiBr4 at its relaxed geometry.

## Properties
Formation energy without anion corrections (meV/atom): 240

a = 8.973 Å, b = 8.973 Å, c = 8.973 Å
α = 90.00°, β = 90.00°, γ = 90.00°
Space group F-43m (No. 216)
Inequivalent atoms, fractional coordinates:
Ca 0.000 0.000 0.000
Si 0.250 0.250 0.750
Br 0.125 0.125 0.375

=====

[5]
The following is a DFT calculation (PBE) of crystalline U2PdI8 at its relaxed geometry.

## Properties
Formation energy without anion corrections (meV/atom): -600

a = 14.166 Å, b = 7.916 Å, c = 9.415 Å
α = 90.00°, β = 100.56°, γ = 90.00°
Space group C2/m (No. 12)
Inequivalent atoms, fractional coordinates:
U 0.123 0.000 0.362
Pd 0.000 0.000 0.000
I 0.099 0.000 0.686
I 0.123 0.251 0.130
I 0.165 0.500 0.532

=====

[6]
The following is a DFT calculation (PBE) of crystalline BeCrIrRh at its relaxed geometry.

## Properties
Energy of formation from the pure elements (eV per atom): -0.2944

a = 5.841 Å, b = 5.841 Å, c = 5.841 Å
α = 90.00°, β = 90.00°, γ = 90.00°
Space group F-43m (No. 216)
Inequivalent atoms, fractional coordinates:
Be 0.000 0.000 0.000
Cr 0.000 0.000 0.500
Ir 0.250 0.250 0.250
Rh 0.250 0.250 0.750